# KInBrCl2 PBE-GGA relaxed
# - ΔE_f (raw) (eV per atom) = -1.254
# - electronic total energy (hartree per atom) = -0.114
data_KInBrCl2
_chemical_formula_sum 'K1 In1 Br1 Cl2'
_cell_length_a 5.430
_cell_length_b 5.430
_cell_length_c 5.698
_cell_angle_alpha 90.00
_cell_angle_beta 90.00
_cell_angle_gamma 90.00
_space_group_name_H-M_alt 'P 4/m m m'
_space_group_IT_number 123
_space_group_name_Hall '-P 4 2'
loop_
_atom_site_label
_atom_site_fract_x
_atom_site_fract_y
_atom_site_fract_z
_atom_site_occupancy
K1 0.000 0.000 0.000 1
In1 0.500 0.500 0.500 1
Br1 0.500 0.500 0.000 1
Cl1 0.000 0.500 0.500 1